Material: Sr2Ac15Y2
Method: DFT, PBE-GGA
State: relaxed

Geometry as CIF:
```
data_Sr2Ac15Y2
_chemical_formula_sum 'Sr6 Ac45 Y6'
_cell_length_a 12.7327
_cell_length_b 12.7327
_cell_length_c 19.1806
_cell_angle_alpha 90.00
_cell_angle_beta 90.00
_cell_angle_gamma 120.00
_symmetry_space_group_name_H-M 'R -3 m'
_symmetry_Int_Tables_number 166
_symmetry_space_group_name_Hall '-R 3 2"'
loop_
_atom_site_label
_atom_site_fract_x
_atom_site_fract_y
_atom_site_fract_z
Sr1 0.0000 0.0000 0.1699
Ac1 0.0000 0.2916 0.5000
Ac2 0.0000 0.5000 0.0000
Ac3 0.0006 0.5003 0.6448
Y1 0.0000 0.0000 0.4076
```

Summary:
* crystal system: trigonal
* volume: 2693.0 Å³/cell
* energy of formation: 0.2279 eV/atom
* uncorrected energy: -3.873 eV per atom